(A)
Here is an optimized crystal structure of Fe2IrI from the Alexandria database. Energies are from PBE. Values from VASP.

Structure (Quantum ESPRESSO input):
```
&SYSTEM
  ibrav = 0, nat = 8, ntyp = 3
/
ATOMIC_SPECIES
Fe 55.84 Fe.upf
Ir 192.22 Ir.upf
I 126.90 I.upf
CELL_PARAMETERS angstrom
-2.836 2.836 5.445
2.836 -2.836 5.445
2.836 2.836 -5.445
ATOMIC_POSITIONS crystal
Fe 0.085 0.625 0.960
Fe 0.375 0.335 0.460
Fe 0.665 0.125 0.040
Fe 0.875 0.915 0.540
Ir 0.000 0.000 0.000
Ir 0.750 0.250 0.500
I 0.250 0.750 0.500
I 0.500 0.500 0.000
```

Output
M_tot (μB per atom): 0.98


(B)
Here is an optimized crystal structure of Fe2IrI from the Alexandria database. Energies are from PBE. Values from VASP.

Structure (Quantum ESPRESSO input):
```
&SYSTEM
  ibrav = 0, nat = 4, ntyp = 3
/
ATOMIC_SPECIES
Fe 55.84 Fe.upf
Ir 192.22 Ir.upf
I 126.90 I.upf
CELL_PARAMETERS angstrom
0.000 3.121 3.121
3.121 0.000 3.121
3.121 3.121 0.000
ATOMIC_POSITIONS crystal
Fe 0.250 0.250 0.250
Fe 0.750 0.750 0.750
Ir 0.000 0.000 0.000
I 0.500 0.500 0.500
```

Output
M_tot (μB per atom): 1.17


Least stable = (A)